## RbMg2InCl8 (PBE)

Data for a relaxed structure of RbMg2InCl8.

Total moment = 0.0 μB/f.u.
Raw total energy = -40.40 eV per cell
Space-group type = P-1, No. 2

Unit cell a=6.430 b=6.438 c=9.035 alpha=76.11 beta=76.33 gamma=75.71
Fractional positions:
Rb 0.000 0.000 0.000
Mg 0.450 0.449 0.217
Mg 0.550 0.551 0.783
In 0.000 0.000 0.500
Cl 0.192 0.729 0.715
Cl 0.257 0.250 0.464
Cl 0.266 0.804 0.287
Cl 0.338 0.331 0.021
Cl 0.662 0.669 0.979
Cl 0.734 0.196 0.713
Cl 0.743 0.750 0.536
Cl 0.808 0.271 0.285